Density functional theory data (GGA-PBE) for an optimized crystal structure of AsF.

Output
N(E_F) in states/eV/f.u.: 0.605
Formation energy from raw total energies in eV/atom: -1.0791
Symmetry: P6_3mc, No. 186
E in Ry/atom: -0.3189
Magnetization in μB per cell: 0.00
V in Å³ per cell: 66.5
Distance to the lowest polymorph of the same formula in meV/atom: 227

Cell: 2.9786 2.9786 8.6557 Å, 90.00 90.00 120.00°
Fractional coordinates of all 4 atoms:
As 0.3333 0.6667 0.0000
As 0.6667 0.3333 0.5000
F 0.3333 0.6667 0.7887
F 0.6667 0.3333 0.2887

Density functional theory data (GGA-PBE) for an optimized crystal structure of AsF.

Output
N(E_F) in states/eV/f.u.: 1.062
Formation energy from raw total energies in eV/atom: -0.1206
Symmetry: Fm-3m, No. 225
E in Ry/atom: -0.2485
Magnetization in μB per cell: 0.00
V in Å³ per cell: 131.7
Distance to the lowest polymorph of the same formula in meV/atom: 1186

Cell: 5.0875 5.0875 5.0875 Å, 90.00 90.00 90.00°
Fractional coordinates of all 8 atoms:
As 0.0000 0.0000 0.0000
As 0.0000 0.5000 0.5000
As 0.5000 0.0000 0.5000
As 0.5000 0.5000 0.0000
F 0.0000 0.0000 0.5000
F 0.0000 0.5000 0.0000
F 0.5000 0.0000 0.0000
F 0.5000 0.5000 0.5000

Density functional theory data (GGA-PBE) for an optimized crystal structure of AsF.

Output
Formation energy from raw total energies in eV/atom: -1.1811
Symmetry: Pmn2_1, No. 31
E in Ry/atom: -0.3264
Magnetization in μB per cell: 0.00
V in Å³ per cell: 269.7
Distance to the lowest polymorph of the same formula in meV/atom: 125

Cell: 8.3865 5.9871 5.3710 Å, 90.00 90.00 90.00°
Fractional coordinates of all 12 atoms:
As 0.0000 0.2336 0.0000
As 0.2427 0.4881 0.9836
As 0.2573 0.5119 0.4836
As 0.5000 0.7664 0.5000
As 0.7427 0.5119 0.4836
As 0.7573 0.4881 0.9836
F 0.0000 0.1707 0.6691
F 0.1712 0.7724 0.9744
F 0.3288 0.2276 0.4744
F 0.5000 0.8293 0.1691
F 0.6712 0.2276 0.4744
F 0.8288 0.7724 0.9744